Record 1
A relaxed structure of LiPmDyPt, computed with PBE-GGA. Values from VASP.

Output
Crystal system: cubic
Total DFT energy (no corrections): -4.930 eV/atom
Mass density: 9.29 g/cm3
Magnetic moment: 0.0 μB per cell
Space group: F-43m, No. 216

Cell and atoms, written as Quantum ESPRESSO input:
```
&SYSTEM
  ibrav = 0, nat = 4, ntyp = 4
/
ATOMIC_SPECIES
Li 6.94 Li.upf
Pm 145.00 Pm.upf
Dy 162.50 Dy.upf
Pt 195.08 Pt.upf
ATOMIC_POSITIONS angstrom
Li 0.000 0.000 0.000
Pm 1.785 1.785 1.785
Dy 5.356 5.356 5.356
Pt 3.571 3.571 3.571
CELL_PARAMETERS angstrom
0.000 3.571 3.571
3.571 0.000 3.571
3.571 3.571 0.000
```



Record 2
A relaxed structure of Zr4SnIr, computed with PBE-GGA. Values from VASP.

Output
Crystal system: monoclinic
Total DFT energy (no corrections): -7.952 eV/atom
Mass density: 7.51 g/cm3
Magnetic moment: 0.3 μB per cell
Space group: P2_1/c, No. 14

Cell and atoms, written as Quantum ESPRESSO input:
```
&SYSTEM
  ibrav = 0, nat = 12, ntyp = 3
/
ATOMIC_SPECIES
Zr 91.22 Zr.upf
Sn 118.71 Sn.upf
Ir 192.22 Ir.upf
ATOMIC_POSITIONS angstrom
Zr 0.888 1.220 2.141
Zr 0.860 2.222 5.426
Zr 2.253 4.354 2.472
Zr 2.225 5.971 5.757
Zr 4.330 0.912 0.813
Zr 4.302 2.530 4.098
Zr 5.695 4.661 1.144
Zr 5.667 5.664 4.429
Sn 3.277 0.000 3.285
Sn 3.306 3.442 0.000
Ir 0.000 0.000 0.000
Ir -0.028 3.442 3.285
CELL_PARAMETERS angstrom
6.611 0.000 0.000
0.000 6.884 0.000
-0.056 0.000 6.570
```



Record 3
A relaxed structure of MgPb2Au, computed with PBE-GGA. Values from VASP.

Output
Crystal system: tetragonal
Total DFT energy (no corrections): -3.087 eV/atom
Mass density: 8.86 g/cm3
Magnetic moment: 0.0 μB per cell
Space group: I-42d, No. 122

Cell and atoms, written as Quantum ESPRESSO input:
```
&SYSTEM
  ibrav = 0, nat = 8, ntyp = 3
/
ATOMIC_SPECIES
Mg 24.30 Mg.upf
Pb 207.20 Pb.upf
Au 196.97 Au.upf
ATOMIC_POSITIONS angstrom
Mg 0.000 0.000 0.000
Mg 0.000 4.724 1.334
Pb 2.362 3.230 -0.667
Pb 6.219 2.362 0.667
Pb 2.362 1.495 2.001
Pb -1.495 2.362 3.336
Au 4.724 0.000 1.334
Au 0.000 0.000 2.669
CELL_PARAMETERS angstrom
-4.724 4.724 2.669
4.724 -4.724 2.669
4.724 4.724 -2.669
```



| no. | formation energy (kJ/mol of formula units) |
| --- | --- |
| 1 | -233 |
| 2 | -63 |
| 3 | -6 |